{"formula": "Cs12TlO7", "functional": "PBE", "state": "relaxed", "lattice_angstrom": [[-0.292, -9.278, -2.220], [7.003, 1.253, 6.362], [-8.242, 2.235, 4.263]], "species": ["Cs", "Cs", "Cs", "Cs", "Cs", "Cs", "Cs", "Cs", "Cs", "Cs", "Cs", "Cs", "O", "O", "O", "O", "O", "O", "O", "Tl"], "frac_coords": [[0.074, 0.701, 0.200], [0.160, 0.373, 0.433], [0.627, 0.567, 0.840], [0.200, 0.074, 0.701], [0.926, 0.299, 0.800], [0.840, 0.627, 0.567], [0.567, 0.840, 0.627], [0.800, 0.926, 0.299], [0.433, 0.160, 0.373], [0.373, 0.433, 0.160], [0.299, 0.800, 0.926], [0.701, 0.200, 0.074], [0.887, 0.960, 0.658], [0.113, 0.040, 0.342], [0.342, 0.113, 0.040], [0.658, 0.887, 0.960], [0.960, 0.658, 0.887], [0.500, 0.500, 0.500], [0.040, 0.342, 0.113], [0.000, 0.000, 0.000]], "total_magnetization_mub_per_cell": 0.84, "e_form_raw_mev_per_atom": -878}